1.
The following is a DFT calculation (PBE) of a geometry-optimized RbHoTm4Se8 structure.

Properties
Space-group type   R3m, No. 160
Crystal system   trigonal

a b c (Å): 8.581 8.581 8.581
angles (deg): 59.64 59.64 59.64
Atoms (fractional coordinates):
Rb1 0.000 0.000 0.000
Ho1 0.633 0.633 0.633
Tm1 0.113 0.632 0.632
Tm2 0.252 0.252 0.252
Tm3 0.632 0.113 0.632
Tm4 0.632 0.632 0.113
Se1 0.384 0.384 0.384
Se2 0.384 0.384 0.856
Se3 0.384 0.856 0.384
Se4 0.430 0.861 0.861
Se5 0.856 0.384 0.384
Se6 0.858 0.858 0.858
Se7 0.861 0.430 0.861
Se8 0.861 0.861 0.430

=====

2.
The following is a DFT calculation (PBE) of a geometry-optimized Rb4HoTm3Se8 structure.

Properties
Space-group type   R-3m, No. 166
Crystal system   trigonal

a b c (Å): 9.342 9.342 9.342
angles (deg): 53.43 53.43 53.43
Atoms (fractional coordinates):
Rb1 0.000 0.000 0.000
Rb2 0.000 0.500 0.500
Rb3 0.500 0.000 0.500
Rb4 0.500 0.500 0.000
Ho1 0.500 0.500 0.500
Tm1 0.000 0.000 0.500
Tm2 0.000 0.500 0.000
Tm3 0.500 0.000 0.000
Se1 0.230 0.732 0.732
Se2 0.231 0.231 0.231
Se3 0.268 0.268 0.770
Se4 0.268 0.770 0.268
Se5 0.732 0.230 0.732
Se6 0.732 0.732 0.230
Se7 0.769 0.769 0.769
Se8 0.770 0.268 0.268

=====

3.
The following is a DFT calculation (PBE) of a geometry-optimized RbHo4TmSe8 structure.

Properties
Space-group type   R3m, No. 160
Crystal system   trigonal

a b c (Å): 8.575 8.575 8.575
angles (deg): 60.30 60.30 60.30
Atoms (fractional coordinates):
Rb1 0.000 0.000 0.000
Ho1 0.108 0.628 0.628
Ho2 0.248 0.248 0.248
Ho3 0.628 0.108 0.628
Ho4 0.628 0.628 0.108
Tm1 0.628 0.628 0.628
Se1 0.381 0.381 0.381
Se2 0.381 0.381 0.851
Se3 0.381 0.851 0.381
Se4 0.428 0.853 0.853
Se5 0.851 0.381 0.381
Se6 0.853 0.428 0.853
Se7 0.853 0.853 0.428
Se8 0.856 0.856 0.856

=====

4.
The following is a DFT calculation (PBE) of a geometry-optimized Rb3HoTm2Se6 structure.

Properties
Space-group type   C2/m, No. 12
Crystal system   monoclinic

a b c (Å): 7.280 7.280 8.346
angles (deg): 98.36 98.36 120.00
Atoms (fractional coordinates):
Rb1 0.000 0.000 0.000
Rb2 0.334 0.666 0.000
Rb3 0.666 0.334 0.000
Ho1 0.500 0.500 0.500
Tm1 0.167 0.833 0.500
Tm2 0.833 0.167 0.500
Se1 0.100 0.435 0.306
Se2 0.229 0.229 0.694
Se3 0.435 0.100 0.306
Se4 0.565 0.900 0.694
Se5 0.771 0.771 0.306
Se6 0.900 0.565 0.694

=====

5.
The following is a DFT calculation (PBE) of a geometry-optimized Rb2HoTmSe4 structure.

Properties
Space-group type   P2/m, No. 10
Crystal system   monoclinic

a b c (Å): 7.289 4.209 8.347
angles (deg): 90.00 106.91 90.00
Atoms (fractional coordinates):
Rb1 0.000 0.000 0.000
Rb2 0.500 0.500 0.000
Ho1 0.000 0.500 0.500
Tm1 0.500 0.000 0.500
Se1 0.233 0.000 0.694
Se2 0.271 0.500 0.306
Se3 0.729 0.500 0.694
Se4 0.767 0.000 0.306

=====

6.
The following is a DFT calculation (PBE) of a geometry-optimized Rb3Ho3TmSe8 structure.

Properties
Space-group type   R-3m, No. 166
Crystal system   trigonal

a b c (Å): 9.487 9.487 9.487
angles (deg): 51.75 51.75 51.75
Atoms (fractional coordinates):
Rb1 0.000 0.500 0.500
Rb2 0.500 0.000 0.500
Rb3 0.500 0.500 0.000
Ho1 0.000 0.000 0.500
Ho2 0.000 0.500 0.000
Ho3 0.500 0.000 0.000
Tm1 0.500 0.500 0.500
Se1 0.232 0.232 0.232
Se2 0.232 0.730 0.730
Se3 0.270 0.270 0.768
Se4 0.270 0.768 0.270
Se5 0.730 0.232 0.730
Se6 0.730 0.730 0.232
Se7 0.768 0.270 0.270
Se8 0.768 0.768 0.768

=====

7.
The following is a DFT calculation (PBE) of a geometry-optimized Rb3Ho2TmSe6 structure.

Properties
Space-group type   C2/m, No. 12
Crystal system   monoclinic

a b c (Å): 7.299 7.299 8.350
angles (deg): 98.38 98.38 120.00
Atoms (fractional coordinates):
Rb1 0.000 0.000 0.000
Rb2 0.333 0.667 0.000
Rb3 0.667 0.333 0.000
Ho1 0.167 0.833 0.500
Ho2 0.833 0.167 0.500
Tm1 0.500 0.500 0.500
Se1 0.104 0.435 0.306
Se2 0.234 0.234 0.694
Se3 0.435 0.104 0.306
Se4 0.565 0.896 0.694
Se5 0.766 0.766 0.306
Se6 0.896 0.565 0.694

=====

8.
The following is a DFT calculation (PBE) of a geometry-optimized Rb3HoU3Se8 structure.

Properties
Space-group type   R-3m, No. 166
Crystal system   trigonal

a b c (Å): 9.500 9.500 9.500
angles (deg): 52.45 52.45 52.45
Atoms (fractional coordinates):
Rb1 0.000 0.500 0.500
Rb2 0.500 0.000 0.500
Rb3 0.500 0.500 0.000
Ho1 0.500 0.500 0.500
U1 0.000 0.000 0.500
U2 0.000 0.500 0.000
U3 0.500 0.000 0.000
Se1 0.232 0.232 0.232
Se2 0.232 0.731 0.731
Se3 0.269 0.269 0.768
Se4 0.269 0.768 0.269
Se5 0.731 0.232 0.731
Se6 0.731 0.731 0.232
Se7 0.768 0.269 0.269
Se8 0.768 0.768 0.768

=====

| no. | volume (A^3/atom) | calculated density (g/cm³) | formation energy (no corrections) (eV per atom) |
| --- | --- | --- | --- |
| 1 | 31.7 | 5.84 | -1.694 |
| 2 | 30.5 | 5.60 | -1.727 |
| 3 | 32.1 | 5.72 | -1.707 |
| 4 | 30.5 | 5.59 | -1.728 |
| 5 | 30.6 | 5.56 | -1.730 |
| 6 | 32.4 | 5.29 | -1.666 |
| 7 | 30.7 | 5.54 | -1.732 |
| 8 | 33.3 | 5.88 | -1.359 |